(1)
Density functional theory data (PBE-GGA) for crystalline YTi2Rh2 at its relaxed geometry.

Properties
* calculated total energy: -7.901 eV per atom
* space-group type: P4/mbm (127)
* E_form: -49 kJ/mol of atoms
* magnetization: 0.0 μB per formula unit
* energy above the most stable polymorph in this dataset: 163 meV per atom

Structure (CIF):
```
data_YTi2Rh2
_chemical_formula_sum 'Y2 Ti4 Rh4'
_symmetry_space_group_name_H-M 'P 1'
_symmetry_Int_Tables_number 1
_symmetry_space_group_name_Hall 'P 1'
_cell_length_a 7.6709
_cell_length_b 7.6709
_cell_length_c 3.0382
_cell_angle_alpha 90.00
_cell_angle_beta 90.00
_cell_angle_gamma 90.00
loop_
_atom_site_label
_atom_site_fract_x
_atom_site_fract_y
_atom_site_fract_z
_atom_site_occupancy
Ti1 0.1507 0.6507 0.5000 1
Ti2 0.3493 0.1507 0.5000 1
Ti3 0.6507 0.8493 0.5000 1
Ti4 0.8493 0.3493 0.5000 1
Rh1 0.6364 0.1364 0.0000 1
Rh2 0.8636 0.6364 0.0000 1
Rh3 0.1364 0.3636 0.0000 1
Rh4 0.3636 0.8636 0.0000 1
Y1 0.5000 0.5000 0.0000 1
Y2 0.0000 0.0000 0.0000 1
```

(2)
Density functional theory data (PBE-GGA) for crystalline YTiRh2 at its relaxed geometry.

Properties
* calculated total energy: -7.931 eV per atom
* space-group type: Fm-3m (225)
* E_form: -64 kJ/mol of atoms
* magnetization: 0.0 μB per formula unit
* energy above the most stable polymorph in this dataset: 90 meV per atom

Structure (CIF):
```
data_YTiRh2
_chemical_formula_sum 'Y1 Ti1 Rh2'
_symmetry_space_group_name_H-M 'P 1'
_symmetry_Int_Tables_number 1
_symmetry_space_group_name_Hall 'P 1'
_cell_length_a 4.6327
_cell_length_b 4.6327
_cell_length_c 4.6327
_cell_angle_alpha 60.00
_cell_angle_beta 60.00
_cell_angle_gamma 60.00
loop_
_atom_site_label
_atom_site_fract_x
_atom_site_fract_y
_atom_site_fract_z
_atom_site_occupancy
Ti1 0.0000 0.0000 0.0000 1
Y1 0.5000 0.5000 0.5000 1
Rh1 0.7500 0.7500 0.7500 1
Rh2 0.2500 0.2500 0.2500 1
```

(3)
Density functional theory data (PBE-GGA) for crystalline YTiRh2 at its relaxed geometry.

Properties
* calculated total energy: -7.692 eV per atom
* space-group type: I-42d (122)
* E_form: -41 kJ/mol of atoms
* magnetization: 0.0 μB per formula unit
* energy above the most stable polymorph in this dataset: 329 meV per atom

Structure (CIF):
```
data_YTiRh2
_chemical_formula_sum 'Y2 Ti2 Rh4'
_symmetry_space_group_name_H-M 'P 1'
_symmetry_Int_Tables_number 1
_symmetry_space_group_name_Hall 'P 1'
_cell_length_a 7.1075
_cell_length_b 7.1075
_cell_length_c 5.8630
_cell_angle_alpha 52.69
_cell_angle_beta 52.69
_cell_angle_gamma 90.00
loop_
_atom_site_label
_atom_site_fract_x
_atom_site_fract_y
_atom_site_fract_z
_atom_site_occupancy
Ti1 0.5000 0.5000 0.0000 1
Ti2 0.2500 0.7500 0.5000 1
Rh1 0.5822 0.1250 0.2500 1
Rh2 0.3750 0.4178 0.7500 1
Rh3 0.1678 0.6250 0.2500 1
Rh4 0.8750 0.8322 0.7500 1
Y1 0.7500 0.2500 0.5000 1
Y2 0.0000 0.0000 0.0000 1
```

(4)
Density functional theory data (PBE-GGA) for crystalline YTiRh2 at its relaxed geometry.

Properties
* calculated total energy: -8.021 eV per atom
* space-group type: P4/mmm (123)
* E_form: -73 kJ/mol of atoms
* magnetization: 0.0 μB per formula unit
* energy above the most stable polymorph in this dataset: 0 meV per atom

Structure (CIF):
```
data_YTiRh2
_chemical_formula_sum 'Y1 Ti1 Rh2'
_symmetry_space_group_name_H-M 'P 1'
_symmetry_Int_Tables_number 1
_symmetry_space_group_name_Hall 'P 1'
_cell_length_a 3.1780
_cell_length_b 3.1780
_cell_length_c 6.9542
_cell_angle_alpha 90.00
_cell_angle_beta 90.00
_cell_angle_gamma 90.00
loop_
_atom_site_label
_atom_site_fract_x
_atom_site_fract_y
_atom_site_fract_z
_atom_site_occupancy
Ti1 0.5000 0.5000 0.0000 1
Rh1 0.0000 0.0000 0.2108 1
Rh2 0.0000 0.0000 0.7892 1
Y1 0.5000 0.5000 0.5000 1
```